[1]
PrAlZnPd: optimized geometry, PBE.

Lattice parameters (Å, degrees): 5.605 5.605 5.605 46.63 46.63 46.63
Fractional coordinates of all 4 atoms:
Pr: 0.000 0.000 0.000
Al: 0.523 0.523 0.523
Zn: 0.792 0.792 0.792
Pd: 0.198 0.198 0.198

- Excess energy over the best structure of this formula in the dataset: 0 meV per atom
- ΔH_f (0 K): -0.592 eV/atom

***

[2]
CsInSCl2: optimized geometry, PBE.

Lattice parameters (Å, degrees): 5.460 5.460 4.943 90.00 90.00 90.00
Fractional coordinates of all 5 atoms:
Cs: 0.000 0.000 0.000
In: 0.500 0.500 0.500
S: 0.500 0.500 0.000
Cl: 0.000 0.500 0.500
Cl: 0.500 0.000 0.500

- Excess energy over the best structure of this formula in the dataset: 0 meV per atom
- Energy relative to the elements, uncorrected: -1.113 eV/atom